Version P
# Li3Pd4

A geometry-optimized Li3Pd4 structure (PBE, Alexandria).

abc: 6.7481 6.7481 6.7481
angles: 113.49 113.49 113.49
Atoms (fractional coordinates):
1 Li 0.0491 0.6334 0.7671
2 Li 0.2329 0.9509 0.3666
3 Li 0.3666 0.2329 0.9509
4 Li 0.6334 0.7671 0.0491
5 Li 0.7671 0.0491 0.6334
6 Li 0.9509 0.3666 0.2329
7 Pd 0.0000 0.0000 0.0000
8 Pd 0.1273 0.2729 0.5700
9 Pd 0.2729 0.5700 0.1273
10 Pd 0.4300 0.8727 0.7271
11 Pd 0.5000 0.5000 0.5000
12 Pd 0.5700 0.1273 0.2729
13 Pd 0.7271 0.4300 0.8727
14 Pd 0.8727 0.7271 0.4300

Summary:
Magnetic moment: 0.0 μB per cell

Version Q
# Li3Pd4

A geometry-optimized Li3Pd4 structure (PBE, Alexandria).

abc: 2.9762 2.9762 10.9378
angles: 97.75 97.75 90.18
Atoms (fractional coordinates):
1 Li 0.0000 0.0000 0.0000
2 Li 0.1378 0.1378 0.2777
3 Li 0.8622 0.8622 0.7223
4 Pd 0.2928 0.2928 0.5849
5 Pd 0.4312 0.4312 0.8617
6 Pd 0.5688 0.5688 0.1383
7 Pd 0.7072 0.7072 0.4151

Summary:
Magnetic moment: 0.0 μB per cell

List of relative energies, unit meV/atom: version P 0; version Q 12

Version P
# Li6Pd

A geometry-optimized Li6Pd structure (PBE, Alexandria).

abc: 5.4137 5.4137 5.4137
angles: 109.47 109.47 109.47
Atoms (fractional coordinates):
1 Li 0.2500 0.5000 0.7500
2 Li 0.2500 0.7500 0.5000
3 Li 0.5000 0.2500 0.7500
4 Li 0.5000 0.7500 0.2500
5 Li 0.7500 0.2500 0.5000
6 Li 0.7500 0.5000 0.2500
7 Pd 0.0000 0.0000 0.0000

Summary:
Magnetic moment: 0.8 μB per cell

Version Q
# Li6Pd

A geometry-optimized Li6Pd structure (PBE, Alexandria).

abc: 4.3511 4.3511 6.6345
angles: 90.00 90.00 90.00
Atoms (fractional coordinates):
1 Li 0.0000 0.0000 0.0000
2 Li 0.0000 0.5000 0.2368
3 Li 0.0000 0.5000 0.7632
4 Li 0.5000 0.0000 0.2368
5 Li 0.5000 0.0000 0.7632
6 Li 0.5000 0.5000 0.5000
7 Pd 0.5000 0.5000 0.0000

Summary:
Magnetic moment: 0.0 μB per cell

Version R
# Li6Pd

A geometry-optimized Li6Pd structure (PBE, Alexandria).

abc: 7.0600 7.0600 7.0600
angles: 37.23 37.23 37.23
Atoms (fractional coordinates):
1 Li 0.0795 0.0795 0.0795
2 Li 0.2107 0.2107 0.2107
3 Li 0.3651 0.3651 0.3651
4 Li 0.6349 0.6349 0.6349
5 Li 0.7893 0.7893 0.7893
6 Li 0.9205 0.9205 0.9205
7 Pd 0.5000 0.5000 0.5000

Summary:
Magnetic moment: 0.0 μB per cell

List of relative energies, unit meV/atom: version P 717; version Q 59; version R 0

Version P
# Li4Pd3

A geometry-optimized Li4Pd3 structure (PBE, Alexandria).

abc: 10.7660 10.7660 3.0133
angles: 97.91 97.91 16.09
Atoms (fractional coordinates):
1 Li 0.0711 0.0711 0.0711
2 Li 0.2103 0.2103 0.2089
3 Li 0.7897 0.7897 0.7911
4 Li 0.9289 0.9289 0.9289
5 Pd 0.3565 0.3565 0.3577
6 Pd 0.5000 0.5000 0.5000
7 Pd 0.6435 0.6435 0.6423

Summary:
Magnetic moment: 0.0 μB per cell

Version Q
# Li4Pd3

A geometry-optimized Li4Pd3 structure (PBE, Alexandria).

abc: 6.6326 6.6326 6.6326
angles: 39.04 39.04 39.04
Atoms (fractional coordinates):
1 Li 0.0876 0.0876 0.0876
2 Li 0.3642 0.3642 0.3642
3 Li 0.6358 0.6358 0.6358
4 Li 0.9124 0.9124 0.9124
5 Pd 0.2246 0.2246 0.2246
6 Pd 0.5000 0.5000 0.5000
7 Pd 0.7754 0.7754 0.7754

Summary:
Magnetic moment: 0.0 μB per cell

List of relative energies, unit meV/atom: version P 0; version Q 73